{
  "formula": "MnO",
  "functional": "PBE+U",
  "state": "relaxed",
  "lattice_angstrom": [[8.677, 0.000, 0.000], [0.000, 8.677, 0.000], [0.000, 0.000, 3.608]],
  "species": ["Mn", "Mn", "Mn", "Mn", "Mn", "Mn", "Mn", "Mn", "O", "O", "O", "O", "O", "O", "O", "O"],
  "frac_coords": [[0.115, 0.292, 0.000], [0.208, 0.615, 0.500], [0.292, 0.885, 0.000], [0.385, 0.208, 0.500], [0.615, 0.792, 0.500], [0.708, 0.115, 0.000], [0.792, 0.385, 0.500], [0.885, 0.708, 0.000], [0.119, 0.709, 0.000], [0.209, 0.381, 0.500], [0.291, 0.119, 0.000], [0.381, 0.791, 0.500], [0.619, 0.209, 0.500], [0.709, 0.881, 0.000], [0.791, 0.619, 0.500], [0.881, 0.291, 0.000]],
  "dft_energy_ev_per_atom": -7.721
}